Material: AlSiNi2
Method: DFT, PBE
State: relaxed

Structure (extended XYZ):
```
4
Lattice="8.0234 0.0331 0.0195 7.5546 2.7026 0.0195 7.5546 1.3267 2.3546" Properties=species:S:1:pos:R:3 pbc="T T T"
Ni 0.0014 0.0003 0.0001
Ni 5.7088 1.0025 0.5907
Si 11.7442 2.0624 1.2152
Al 17.2418 3.0279 1.7841
```

mass density: 5.72 g/cm3
uncorrected formation energy: -15.3 kJ/mol of atoms
total magnetization: 0.000 μB per atom